1.
{
  "formula": "Mg12Cd6Bi",
  "functional": "PBE-GGA",
  "state": "optimized geometry",
  "mass_density_g_cm3": 4.570,
  "m_tot_mub_per_cell": 0.0,
  "formation_energy_ev_per_atom": -0.082,
  "cell": [[7.345, 0.000, 2.355], [-3.669, 6.924, 3.022], [0.007, 0.000, 8.399]],
  "species": ["Mg", "Mg", "Mg", "Mg", "Mg", "Mg", "Mg", "Mg", "Mg", "Mg", "Mg", "Mg", "Cd", "Cd", "Cd", "Cd", "Cd", "Cd", "Bi"],
  "fractional_positions": [[0.520, 0.848, 0.270], [0.673, 0.882, 0.848], [0.790, 0.270, 0.882], [0.480, 0.152, 0.730], [0.327, 0.118, 0.152], [0.210, 0.730, 0.118], [0.266, 0.434, 0.625], [0.109, 0.375, 0.058], [0.168, 0.058, 0.566], [0.734, 0.566, 0.375], [0.891, 0.625, 0.942], [0.832, 0.942, 0.434], [0.428, 0.479, 0.214], [0.051, 0.693, 0.521], [0.358, 0.786, 0.693], [0.572, 0.521, 0.786], [0.949, 0.307, 0.479], [0.642, 0.214, 0.307], [0.000, 0.000, 0.000]]
}

---

2.
{
  "formula": "TaNbFe",
  "functional": "PBE-GGA",
  "state": "optimized geometry",
  "e_above_lowest_polymorph_ev_per_fu": 0.14,
  "mass_density_g_cm3": 11.489,
  "m_tot_mub_per_cell": 0.6,
  "formation_energy_ev_per_atom": -0.051,
  "cell": [[-0.977, -2.817, -0.945], [2.148, -1.357, 1.824], [-3.782, 1.963, 3.234]],
  "species": ["Nb", "Fe", "Ta"],
  "fractional_positions": [[0.990, 0.990, 0.981], [0.332, 0.332, 0.663], [0.678, 0.678, 0.356]]
}

---

3.
{
  "formula": "Co2PtW",
  "functional": "PBE-GGA",
  "state": "optimized geometry",
  "e_above_lowest_polymorph_ev_per_fu": 0.24,
  "mass_density_g_cm3": 15.503,
  "m_tot_mub_per_cell": 1.8,
  "formation_energy_ev_per_atom": -0.060,
  "cell": [[-1.050, 1.967, -1.515], [-2.238, 0.970, 2.811], [3.700, 3.353, 1.789]],
  "species": ["Co", "Co", "Pt", "W"],
  "fractional_positions": [[0.000, 0.000, 0.012], [0.500, 0.500, 0.224], [0.000, 0.000, 0.491], [0.500, 0.500, 0.773]]
}

---

4.
{
  "formula": "Nd6Te2Se3",
  "functional": "PBE-GGA",
  "state": "optimized geometry",
  "mass_density_g_cm3": 6.794,
  "m_tot_mub_per_cell": 1.1,
  "raw_formation_energy_ev_per_fu": -16.34,
  "cell": [[4.218, 0.000, 0.418], [2.088, 3.665, 0.418], [0.002, 0.001, 21.466]],
  "species": ["Nd", "Nd", "Nd", "Nd", "Nd", "Nd", "Te", "Te", "Se", "Se", "Se"],
  "fractional_positions": [[0.080, 0.080, 0.759], [0.920, 0.920, 0.241], [0.189, 0.189, 0.433], [0.811, 0.811, 0.567], [0.361, 0.361, 0.918], [0.639, 0.639, 0.082], [0.445, 0.445, 0.664], [0.555, 0.555, 0.336], [0.000, 0.000, 0.000], [0.279, 0.279, 0.162], [0.721, 0.721, 0.838]]
}